No. 1
Compound: Si2PdBr
Source: the Alexandria database
Functional: GGA-PBE
Structure: optimized geometry

Summary:
The calculation puts the excess energy over the best structure of this formula in the dataset at 0.362 eV per atom. Its symmetry is Fm-3m, No. 225.

a = 6.5983 Å, b = 6.5983 Å, c = 6.5983 Å
α = 90.00°, β = 90.00°, γ = 90.00°
Closest atoms and distances in Å follow each position.
Positions (direct):
Si 0.2500 0.2500 0.2500  4 Br 2.86, 4 Pd 2.86
Si 0.2500 0.2500 0.7500  4 Br 2.86, 4 Pd 2.86
Si 0.2500 0.7500 0.2500  4 Br 2.86, 4 Pd 2.86
Si 0.2500 0.7500 0.7500  4 Br 2.86, 4 Pd 2.86
Si 0.7500 0.2500 0.2500  4 Br 2.86, 4 Pd 2.86
Si 0.7500 0.2500 0.7500  4 Br 2.86, 4 Pd 2.86
Si 0.7500 0.7500 0.2500  4 Br 2.86, 4 Pd 2.86
Si 0.7500 0.7500 0.7500  4 Br 2.86, 4 Pd 2.86
Pd 0.0000 0.0000 0.0000  8 Si 2.86
Pd 0.0000 0.5000 0.5000  8 Si 2.86
Pd 0.5000 0.0000 0.5000  8 Si 2.86
Pd 0.5000 0.5000 0.0000  8 Si 2.86
Br 0.0000 0.0000 0.5000  8 Si 2.86
Br 0.0000 0.5000 0.0000  8 Si 2.86
Br 0.5000 0.0000 0.0000  8 Si 2.86
Br 0.5000 0.5000 0.5000  8 Si 2.86

=====

No. 2
Compound: Zr12Rh6N
Source: the Alexandria database
Functional: GGA-PBE
Structure: optimized geometry

Summary:
Its symmetry is R-3, No. 148.

a = 7.4573 Å, b = 7.4573 Å, c = 7.4573 Å
α = 99.09°, β = 99.09°, γ = 99.09°
Closest atoms and distances in Å follow each position.
Positions (direct):
Zr 0.0054 0.6936 0.9280  1 N 2.27
Zr 0.0720 0.9946 0.3064  1 N 2.27
Zr 0.1835 0.4154 0.5609  4 Rh 2.61-2.84
Zr 0.3064 0.0720 0.9946  1 N 2.27
Zr 0.4154 0.5609 0.1835  4 Rh 2.61-2.84
Zr 0.4391 0.8165 0.5846  4 Rh 2.61-2.84
Zr 0.5609 0.1835 0.4154  4 Rh 2.61-2.84
Zr 0.5846 0.4391 0.8165  4 Rh 2.61-2.84
Zr 0.6936 0.9280 0.0054  1 N 2.27
Zr 0.8165 0.5846 0.4391  4 Rh 2.61-2.84
Zr 0.9280 0.0054 0.6936  1 N 2.27
Zr 0.9946 0.3064 0.0720  1 N 2.27
Rh 0.1258 0.6450 0.3075  6 Zr 2.61-2.84
Rh 0.3075 0.1258 0.6450  6 Zr 2.61-2.84
Rh 0.3550 0.6925 0.8742  6 Zr 2.61-2.84
Rh 0.6450 0.3075 0.1258  6 Zr 2.61-2.84
Rh 0.6925 0.8742 0.3550  6 Zr 2.61-2.84
Rh 0.8742 0.3550 0.6925  6 Zr 2.61-2.84
N 0.0000 0.0000 0.0000  6 Zr 2.27

=====

Results for E_form (uncorrected): 0.572 -0.464 (in eV per atom, following the order of the records).
Results for DOS(E_F): 0.70 0.93 (in states/eV per atom, following the order of the records).